Record 1
The following is a PBE calculation of a relaxed AlSiTeI2 crystal, from Alexandria via LeMat-Bulk.

The formation energy without anion corrections is 0.301 eV/atom. Its excess energy over the best structure of this formula in the dataset is 0 meV/atom. The total moment is 0.0 μB/f.u. The raw total energy is -2.780 eV/atom.

Cell: 5.6302 5.6302 5.4078 Å, 90.00 90.00 90.00°
Space group P4/mmm (No. 123)
Unique sites:
Al (0.0000, 0.0000, 0.0000) x1
Si (0.5000, 0.5000, 0.5000) x1
Te (0.5000, 0.5000, 0.0000) x1
I (0.0000, 0.5000, 0.5000) x2



Record 2
The following is a PBE calculation of a relaxed AlSiTe2I crystal, from Alexandria via LeMat-Bulk.

The formation energy without anion corrections is 0.533 eV/atom. Its excess energy over the best structure of this formula in the dataset is 145 meV/atom. The total moment is 0.0 μB/f.u. The raw total energy is -2.867 eV/atom.

Cell: 5.3691 5.3691 5.3839 Å, 90.00 90.00 90.00°
Space group P4/mmm (No. 123)
Unique sites:
Al (0.0000, 0.0000, 0.0000) x1
Si (0.5000, 0.5000, 0.5000) x1
Te (0.0000, 0.5000, 0.0000) x2
I (0.0000, 0.0000, 0.5000) x1



Record 3
The following is a PBE calculation of a relaxed AlSiTe2I crystal, from Alexandria via LeMat-Bulk.

The formation energy without anion corrections is 0.388 eV/atom. Its excess energy over the best structure of this formula in the dataset is 0 meV/atom. The total moment is 0.0 μB/f.u. The raw total energy is -3.012 eV/atom.

Cell: 5.3148 5.3148 5.6654 Å, 90.00 90.00 90.00°
Space group P4/mmm (No. 123)
Unique sites:
Al (0.0000, 0.0000, 0.0000) x1
Si (0.5000, 0.5000, 0.5000) x1
Te (0.0000, 0.5000, 0.5000) x2
I (0.5000, 0.5000, 0.0000) x1



Record 4
The following is a PBE calculation of a relaxed AlSiTeI2 crystal, from Alexandria via LeMat-Bulk.

The formation energy without anion corrections is 0.469 eV/atom. Its excess energy over the best structure of this formula in the dataset is 168 meV/atom. The total moment is 0.4 μB/f.u. The raw total energy is -2.613 eV/atom.

Cell: 5.3973 5.3973 5.5992 Å, 90.00 90.00 90.00°
Space group P4/mmm (No. 123)
Unique sites:
Al (0.0000, 0.0000, 0.0000) x1
Si (0.5000, 0.5000, 0.5000) x1
Te (0.0000, 0.0000, 0.5000) x1
I (0.0000, 0.5000, 0.0000) x2



Record 5
The following is a PBE calculation of a relaxed Sm4AlI5 crystal, from Alexandria via LeMat-Bulk.

The formation energy without anion corrections is -1.059 eV/atom. The total moment is 0.0 μB/f.u. The raw total energy is -4.095 eV/atom.

Cell: 19.6154 4.2774 9.0753 Å, 90.00 102.51 90.00°
Space group C2/m (No. 12)
Unique sites:
Sm (0.0000, 0.0000, 0.2232) x4
Sm (0.1496, 0.5000, 0.0766) x4
Al (0.0000, 0.5000, 0.0000) x2
I (0.0000, 0.5000, 0.5000) x2
I (0.1668, 0.0000, 0.3376) x4
I (0.1725, 0.0000, 0.8297) x4



Record 6
The following is a PBE calculation of a relaxed Sm4Al2I5 crystal, from Alexandria via LeMat-Bulk.

The formation energy without anion corrections is -0.832 eV/atom. The total moment is 0.0 μB/f.u. The raw total energy is -3.933 eV/atom.

Cell: 24.3837 4.1501 8.7912 Å, 90.00 92.64 90.00°
Space group C2/m (No. 12)
Unique sites:
Sm (0.0240, 0.0000, 0.2860) x4
Sm (0.1655, 0.5000, 0.4351) x4
Al (0.0510, 0.5000, 0.5369) x4
I (0.0000, 0.5000, 0.0000) x2
I (0.1468, 0.0000, 0.1692) x4
I (0.2089, 0.0000, 0.6835) x4



Record 7
The following is a PBE calculation of a relaxed Al2SnI2 crystal, from Alexandria via LeMat-Bulk.

The formation energy without anion corrections is 0.405 eV/atom. Its excess energy over the best structure of this formula in the dataset is 370 meV/atom. The total moment is 0.0 μB/f.u. The raw total energy is -2.513 eV/atom.

Cell: 5.3015 5.3015 10.5491 Å, 90.00 90.00 90.00°
Space group I4/mmm (No. 139)
Unique sites:
Al (0.0000, 0.0000, 0.1224) x4
Sn (0.0000, 0.0000, 0.5000) x2
I (0.0000, 0.5000, 0.2500) x4



Record 8
The following is a PBE calculation of a relaxed AlSnI2 crystal, from Alexandria via LeMat-Bulk.

The formation energy without anion corrections is 0.184 eV/atom. Its excess energy over the best structure of this formula in the dataset is 88 meV/atom. The total moment is 0.0 μB/f.u. The raw total energy is -2.528 eV/atom.

Cell: 5.6569 5.6569 19.7874 Å, 90.00 90.00 90.00°
Space group I-42d (No. 122)
Unique sites:
Al (0.0000, 0.0000, 0.0000) x4
Sn (0.0000, 0.0000, 0.5000) x4
I (0.2480, 0.2500, 0.1250) x8



Record 9
The following is a PBE calculation of a relaxed Al2SnI crystal, from Alexandria via LeMat-Bulk.

The formation energy without anion corrections is 0.366 eV/atom. Its excess energy over the best structure of this formula in the dataset is 85 meV/atom. The total moment is 0.0 μB/f.u. The raw total energy is -2.894 eV/atom.

Cell: 7.3925 7.3925 7.3925 Å, 90.00 90.00 90.00°
Space group Fm-3m (No. 225)
Unique sites:
Al (0.2500, 0.2500, 0.2500) x8
Sn (0.0000, 0.0000, 0.0000) x4
I (0.0000, 0.0000, 0.5000) x4



Record 10
The following is a PBE calculation of a relaxed AlSn2I crystal, from Alexandria via LeMat-Bulk.

The formation energy without anion corrections is 0.319 eV/atom. The total moment is 0.0 μB/f.u. The raw total energy is -3.006 eV/atom.

Cell: 6.8554 6.8554 13.4344 Å, 90.00 90.00 90.00°
Space group I-42d (No. 122)
Unique sites:
Al (0.0000, 0.0000, 0.0000) x4
Sn (0.1814, 0.2500, 0.1250) x8
I (0.0000, 0.0000, 0.5000) x4



Record 11
The following is a PBE calculation of a relaxed Al2SnI2 crystal, from Alexandria via LeMat-Bulk.

The formation energy without anion corrections is 0.035 eV/atom. Its excess energy over the best structure of this formula in the dataset is 0 meV/atom. The total moment is 0.0 μB/f.u. The raw total energy is -2.883 eV/atom.

Cell: 7.4279 7.4279 5.5286 Å, 90.00 90.00 90.00°
Space group P4/mbm (No. 127)
Unique sites:
Al (0.1270, 0.3730, 0.0000) x4
Sn (0.0000, 0.0000, 0.0000) x2
I (0.1942, 0.3058, 0.5000) x4



Record 12
The following is a PBE calculation of a relaxed AlSn3I crystal, from Alexandria via LeMat-Bulk.

The formation energy without anion corrections is 0.978 eV/atom. Its excess energy over the best structure of this formula in the dataset is 619 meV/atom. The total moment is 0.0 μB/f.u. The raw total energy is -2.482 eV/atom.

Cell: 5.8739 5.8739 5.8739 Å, 90.00 90.00 90.00°
Space group Pm-3m (No. 221)
Unique sites:
Al (0.0000, 0.0000, 0.0000) x1
Sn (0.0000, 0.5000, 0.5000) x3
I (0.5000, 0.5000, 0.5000) x1



What did the sixth record say?
The following is a PBE calculation of a relaxed Sm4Al2I5 crystal, from Alexandria via LeMat-Bulk.

The formation energy without anion corrections is -0.832 eV/atom. The total moment is 0.0 μB/f.u. The raw total energy is -3.933 eV/atom.

Cell: 24.3837 4.1501 8.7912 Å, 90.00 92.64 90.00°
Space group C2/m (No. 12)
Unique sites:
Sm (0.0240, 0.0000, 0.2860) x4
Sm (0.1655, 0.5000, 0.4351) x4
Al (0.0510, 0.5000, 0.5369) x4
I (0.0000, 0.5000, 0.0000) x2
I (0.1468, 0.0000, 0.1692) x4
I (0.2089, 0.0000, 0.6835) x4



Please write out number 12 again, unchanged.
The following is a PBE calculation of a relaxed AlSn3I crystal, from Alexandria via LeMat-Bulk.

The formation energy without anion corrections is 0.978 eV/atom. Its excess energy over the best structure of this formula in the dataset is 619 meV/atom. The total moment is 0.0 μB/f.u. The raw total energy is -2.482 eV/atom.

Cell: 5.8739 5.8739 5.8739 Å, 90.00 90.00 90.00°
Space group Pm-3m (No. 221)
Unique sites:
Al (0.0000, 0.0000, 0.0000) x1
Sn (0.0000, 0.5000, 0.5000) x3
I (0.5000, 0.5000, 0.5000) x1



What is the total moment in the ninth record?
0.0 μB/f.u.